A relaxed structure of LiEr4Zn3, computed with PBE.

Computed properties:
- space-group type = No. 139
- DFT total energy (eV/atom) = -3.242
- DOS(E_F) (states/eV/atom) = 1.12
- DFT formation energy (meV per atom) = -243

a = 7.936 Å, b = 7.936 Å, c = 7.936 Å
α = 143.01°, β = 143.01°, γ = 53.31°
Fractional positions:
Li1 0.000 0.000 0.000
Er1 0.127 0.627 0.500
Er2 0.373 0.873 0.500
Er3 0.627 0.127 0.500
Er4 0.873 0.373 0.500
Zn1 0.248 0.248 0.000
Zn2 0.500 0.500 0.000
Zn3 0.752 0.752 0.000